Computed, not measured: a relaxed structure of Pr4ErSc2 at the PBE-GGA level of DFT.

Computed properties:
- spin magnetization (μB/f.u.) = 0.0
- energy above the lowest structure with this stoichiometry (eV/atom) = 0.0000
- energy of formation (eV per formula unit) = 1.1
- calculated volume (Å³/f.u.) = 225.8
- density of states at the Fermi level (states/eV/atom) = 1.7158
- crystal system = monoclinic
- ρ (g cm⁻³) = 6.03

Cell: 5.5918 6.9174 12.0077 Å, 90.00 103.47 90.00°
Last column: nearest neighbours and their distance in Å.
Element x y z (fractional)
Pr 0.6438 0.4957 0.2868  7 Pr 3.40-3.75, 3 Sc 3.59-3.71, 2 Er 3.63
Pr 0.9355 0.7500 0.8702  3 Sc 3.22-3.30, 3 Er 3.36-3.47
Pr 0.0645 0.2500 0.1298  3 Sc 3.22-3.30, 3 Er 3.36-3.47
Pr 0.6438 0.0043 0.2868  7 Pr 3.40-3.75, 3 Sc 3.59-3.71, 2 Er 3.63
Pr 0.7813 0.2500 0.5619  1 Er 3.27, 4 Sc 3.29-3.47, 2 Pr 3.64
Pr 0.3562 0.9957 0.7132  7 Pr 3.40-3.75, 3 Sc 3.59-3.71, 2 Er 3.63
Pr 0.3562 0.5043 0.7132  7 Pr 3.40-3.75, 3 Sc 3.59-3.71, 2 Er 3.63
Pr 0.2187 0.7500 0.4381  1 Er 3.27, 4 Sc 3.29-3.47, 2 Pr 3.64
Er 0.0803 0.7500 0.1579  8 Pr 3.27-3.63, 2 Sc 3.30
Er 0.9197 0.2500 0.8421  8 Pr 3.27-3.63, 2 Sc 3.30
Sc 0.5047 0.7500 0.0074  2 Pr 3.22-3.23, 2 Er 3.30, 2 Sc 3.46
Sc 0.4953 0.2500 0.9926  2 Pr 3.22-3.23, 2 Er 3.30, 2 Sc 3.46
Sc 0.2069 0.2500 0.4126  9 Pr 3.29-3.59
Sc 0.7931 0.7500 0.5874  9 Pr 3.29-3.59

Computed, not measured: a relaxed structure of Pr5ErSc4 at the PBE-GGA level of DFT.

Computed properties:
- spin magnetization (μB/f.u.) = 0.0
- energy of formation (eV per formula unit) = 0.5
- calculated volume (Å³/f.u.) = 305.7
- density of states at the Fermi level (states/eV/atom) = 1.4744
- crystal system = tetragonal
- ρ (g cm⁻³) = 5.71

Cell: 3.6392 3.6392 23.0811 Å, 90.00 90.00 90.00°
Last column: nearest neighbours and their distance in Å.
Element x y z (fractional)
Pr 0.5000 0.5000 0.1076  4 Sc 3.43, 4 Er 3.58, 4 Pr 3.64
Pr 0.5000 0.5000 0.3043  8 Sc 3.42-3.43, 4 Pr 3.64
Pr 0.5000 0.5000 0.5000  8 Sc 3.42, 4 Pr 3.64
Pr 0.5000 0.5000 0.6957  8 Sc 3.42-3.43, 4 Pr 3.64
Pr 0.5000 0.5000 0.8924  4 Sc 3.43, 4 Er 3.58, 4 Pr 3.64
Er 0.0000 0.0000 0.0000  8 Pr 3.58, 4 Er 3.64
Sc 0.0000 0.0000 0.2061  8 Pr 3.43, 4 Sc 3.64
Sc 0.0000 0.0000 0.4021  8 Pr 3.42, 4 Sc 3.64
Sc 0.0000 0.0000 0.5979  8 Pr 3.42, 4 Sc 3.64
Sc 0.0000 0.0000 0.7939  8 Pr 3.43, 4 Sc 3.64

Computed, not measured: a relaxed structure of PrEr2Sc4 at the PBE-GGA level of DFT.

Computed properties:
- spin magnetization (μB/f.u.) = 0.0
- energy above the lowest structure with this stoichiometry (eV/atom) = 0.0000
- energy of formation (eV per formula unit) = 0.3
- calculated volume (Å³/f.u.) = 195.2
- density of states at the Fermi level (states/eV/atom) = 1.6371
- crystal system = triclinic
- ρ (g cm⁻³) = 5.57

Cell: 8.2112 9.6391 6.7206 Å, 121.46 101.77 106.97°
Last column: nearest neighbours and their distance in Å.
Element x y z (fractional)
Pr 0.2171 0.8111 0.5822  5 Er 3.35-3.69, 7 Sc 3.40-3.68, 1 Pr 3.71
Pr 0.1188 0.1574 0.0697  5 Er 3.33-3.69, 6 Sc 3.39-3.69, 1 Pr 3.71
Er 0.7686 0.6845 0.6274  9 Sc 3.22-3.47, 1 Pr 3.55
Er 0.1079 0.1479 0.5551  3 Pr 3.33-3.69, 8 Sc 3.39-3.62, 2 Er 3.44-3.67
Er 0.9398 0.4056 0.9557  7 Sc 3.13-3.41, 2 Er 3.44, 2 Pr 3.45-3.46
Er 0.2192 0.8139 0.0857  3 Pr 3.35-3.69, 7 Sc 3.37-3.67, 3 Er 3.44-3.67
Sc 0.6539 0.9769 0.5592  6 Sc 3.11-3.45, 2 Er 3.16-3.43
Sc 0.3778 0.5571 0.6879  6 Sc 3.08-3.45, 3 Er 3.27-3.42, 2 Pr 3.40
Sc 0.5479 0.2793 0.5182  7 Sc 3.17-3.40, 3 Er 3.26-3.46, 1 Pr 3.53
Sc 0.6578 0.9881 0.0795  7 Sc 3.09-3.44
Sc 0.9455 0.4057 0.4649  4 Sc 3.08-3.31, 5 Er 3.22-3.44, 2 Pr 3.42-3.44
Sc 0.7655 0.6865 0.1238  6 Sc 3.21-3.41, 4 Er 3.22-3.46
Sc 0.3780 0.5542 0.1727  5 Sc 3.11-3.45, 4 Er 3.13-3.42, 2 Pr 3.39-3.42
Sc 0.5521 0.2818 0.0180  7 Sc 3.16-3.45, 2 Er 3.25-3.38, 1 Pr 3.51

Computed, not measured: a relaxed structure of PrEr2Sc8 at the PBE-GGA level of DFT.

Computed properties:
- spin magnetization (μB/f.u.) = 0.0
- energy of formation (eV per formula unit) = 1.4
- calculated volume (Å³/f.u.) = 303.1
- density of states at the Fermi level (states/eV/atom) = 1.5588
- crystal system = monoclinic
- ρ (g cm⁻³) = 4.58

Cell: 5.4716 8.7380 9.2245 Å, 61.73 72.77 51.28°
Last column: nearest neighbours and their distance in Å.
Element x y z (fractional)
Pr 0.5000 0.0000 0.0000  6 Sc 3.30-3.67
Er 0.0000 0.3104 0.3792  12 Sc 3.25-3.43
Er 0.0000 0.6896 0.6208  12 Sc 3.25-3.43
Sc 0.7706 0.0980 0.2635  6 Sc 3.13-3.36, 3 Er 3.30-3.43
Sc 0.7706 0.3614 0.7365  6 Sc 3.13-3.36, 3 Er 3.30-3.43
Sc 0.2449 0.4992 0.0000  2 Sc 2.67-2.80
Sc 0.5000 0.7970 0.4059  4 Er 3.25-3.42, 6 Sc 3.26-3.36, 1 Pr 3.30
Sc 0.5000 0.2030 0.5941  4 Er 3.25-3.42, 6 Sc 3.26-3.36, 1 Pr 3.30
Sc 0.7551 0.5008 0.0000  2 Sc 2.67-2.80
Sc 0.2294 0.6386 0.2635  6 Sc 3.13-3.36, 3 Er 3.30-3.43
Sc 0.2294 0.9020 0.7365  6 Sc 3.13-3.36, 3 Er 3.30-3.43

Computed, not measured: a relaxed structure of Pr3Er2Sc at the PBE-GGA level of DFT.

Computed properties:
- spin magnetization (μB/f.u.) = 0.0
- energy of formation (eV per formula unit) = 0.3
- calculated volume (Å³/f.u.) = 192.8
- density of states at the Fermi level (states/eV/atom) = 1.4848
- crystal system = triclinic
- ρ (g cm⁻³) = 6.91

Cell: 6.1862 9.4125 10.6981 Å, 129.15 124.90 77.57°
Last column: nearest neighbours and their distance in Å.
Element x y z (fractional)
Pr 0.0373 0.3622 0.0774  2 Sc 3.41-3.50, 4 Er 3.53-3.69, 6 Pr 3.59-3.70
Pr 0.9627 0.6378 0.9226  2 Sc 3.41-3.50, 4 Er 3.53-3.69, 6 Pr 3.59-3.70
Pr 0.7086 0.3727 0.4155  3 Er 3.47-3.59, 6 Pr 3.57-3.60, 3 Sc 3.58-3.62
Pr 0.2914 0.6273 0.5845  3 Er 3.47-3.59, 6 Pr 3.57-3.60, 3 Sc 3.58-3.62
Pr 0.6272 0.6291 0.2548  5 Er 3.48-3.65, 6 Pr 3.57-3.64, 1 Sc 3.58
Pr 0.3728 0.3709 0.7452  5 Er 3.48-3.65, 6 Pr 3.57-3.64, 1 Sc 3.58
Er 0.5404 0.8847 0.0885  6 Pr 3.47-3.65, 3 Sc 3.49-3.56, 3 Er 3.49-3.61
Er 0.4596 0.1153 0.9115  6 Pr 3.47-3.65, 3 Sc 3.49-3.56, 3 Er 3.49-3.61
Er 0.2119 0.8815 0.4197  6 Pr 3.48-3.69, 4 Er 3.49-3.61, 2 Sc 3.52-3.61
Er 0.7881 0.1185 0.5803  6 Pr 3.48-3.69, 4 Er 3.49-3.61, 2 Sc 3.52-3.61
Sc 0.1209 0.1182 0.2432  6 Pr 3.41-3.62, 1 Sc 3.49, 5 Er 3.49-3.61
Sc 0.8791 0.8818 0.7568  6 Pr 3.41-3.62, 1 Sc 3.49, 5 Er 3.49-3.61

Computed, not measured: a relaxed structure of Pr3Er6Sc at the PBE-GGA level of DFT.

Computed properties:
- spin magnetization (μB/f.u.) = 0.0
- energy above the lowest structure with this stoichiometry (eV/atom) = 0.1108
- energy of formation (eV per formula unit) = 1.5
- calculated volume (Å³/f.u.) = 321.7
- density of states at the Fermi level (states/eV/atom) = 1.4752
- crystal system = orthorhombic
- ρ (g cm⁻³) = 7.59

Cell: 6.2280 10.8991 10.8991 Å, 119.57 90.00 90.00°
Last column: nearest neighbours and their distance in Å.
Element x y z (fractional)
Pr 0.4585 0.9443 0.7190  1 Sc 3.25, 6 Er 3.29-3.58
Pr 0.9585 0.7190 0.9443  1 Sc 3.25, 6 Er 3.29-3.58
Pr 0.0651 0.3877 0.6123  5 Er 3.41-3.70, 1 Sc 3.48, 2 Pr 3.70
Pr 0.5651 0.6123 0.3877  5 Er 3.41-3.70, 1 Sc 3.48, 2 Pr 3.70
Pr 0.9585 0.0557 0.2810  1 Sc 3.25, 6 Er 3.29-3.58
Pr 0.4585 0.2810 0.0557  1 Sc 3.25, 6 Er 3.29-3.58
Er 0.0442 0.7117 0.6180  4 Pr 3.40-3.70, 6 Er 3.40-3.80
Er 0.5442 0.6180 0.7117  4 Pr 3.40-3.70, 6 Er 3.40-3.80
Er 0.3723 0.5400 0.9614  2 Sc 3.18-3.52, 5 Er 3.19-3.45, 2 Pr 3.29-3.49
Er 0.8723 0.9614 0.5400  2 Sc 3.18-3.52, 5 Er 3.19-3.45, 2 Pr 3.29-3.49
Er 0.4096 0.9532 0.0468  1 Sc 3.27, 4 Pr 3.54-3.58, 2 Er 3.58
Er 0.6296 0.2777 0.7223  4 Er 3.19-3.37, 2 Sc 3.40-3.42, 1 Pr 3.41
Er 0.1296 0.7223 0.2777  4 Er 3.19-3.37, 2 Sc 3.40-3.42, 1 Pr 3.41
Er 0.9096 0.0468 0.9532  1 Sc 3.27, 4 Pr 3.54-3.58, 2 Er 3.58
Er 0.3723 0.0386 0.4600  2 Sc 3.18-3.52, 5 Er 3.19-3.45, 2 Pr 3.29-3.49
Er 0.8723 0.4600 0.0386  2 Sc 3.18-3.52, 5 Er 3.19-3.45, 2 Pr 3.29-3.49
Er 0.0442 0.3820 0.2883  4 Pr 3.40-3.70, 6 Er 3.40-3.80
Er 0.5442 0.2883 0.3820  4 Pr 3.40-3.70, 6 Er 3.40-3.80
Sc 0.1309 0.2040 0.7960  7 Er 3.18-3.52, 3 Pr 3.25-3.48
Sc 0.6309 0.7960 0.2040  7 Er 3.18-3.52, 3 Pr 3.25-3.48

Computed, not measured: a relaxed structure of Pr9Er2Sc at the PBE-GGA level of DFT.

Computed properties:
- spin magnetization (μB/f.u.) = 0.0
- energy of formation (eV per formula unit) = 0.3
- calculated volume (Å³/f.u.) = 409.3
- density of states at the Fermi level (states/eV/atom) = 1.4582
- crystal system = tetragonal
- ρ (g cm⁻³) = 6.69

Cell: 5.1466 5.1466 15.4512 Å, 90.00 90.00 90.00°
Last column: nearest neighbours and their distance in Å.
Element x y z (fractional)
Pr 0.5000 0.5000 0.0000  8 Pr 3.60, 4 Sc 3.64
Pr 0.5000 0.5000 0.3317  4 Er 3.64, 8 Pr 3.66
Pr 0.5000 0.5000 0.6683  4 Er 3.64, 8 Pr 3.66
Pr 0.5000 0.0000 0.1631  8 Pr 3.60-3.66, 2 Sc 3.60, 2 Er 3.66
Pr 0.5000 0.0000 0.5000  8 Pr 3.64-3.66, 4 Er 3.66
Pr 0.5000 0.0000 0.8369  8 Pr 3.60-3.66, 2 Sc 3.60, 2 Er 3.66
Pr 0.0000 0.5000 0.1631  2 Sc 3.60, 8 Pr 3.60-3.66, 2 Er 3.66
Pr 0.0000 0.5000 0.5000  8 Pr 3.64-3.66, 4 Er 3.66
Pr 0.0000 0.5000 0.8369  8 Pr 3.60-3.66, 2 Sc 3.60, 2 Er 3.66
Er 0.0000 0.0000 0.3316  12 Pr 3.64-3.66
Er 0.0000 0.0000 0.6684  12 Pr 3.64-3.66
Sc 0.0000 0.0000 0.0000  12 Pr 3.60-3.64

Computed, not measured: a relaxed structure of Pr2Er3Sc2 at the PBE-GGA level of DFT.

Computed properties:
- spin magnetization (μB/f.u.) = 0.0
- energy above the lowest structure with this stoichiometry (eV/atom) = 0.0000
- energy of formation (eV per formula unit) = 0.2
- calculated volume (Å³/f.u.) = 212.9
- density of states at the Fermi level (states/eV/atom) = 1.5294
- crystal system = orthorhombic
- ρ (g cm⁻³) = 6.81

Cell: 5.2039 3.4857 12.0196 Å, 90.00 77.50 90.00°
Last column: nearest neighbours and their distance in Å.
Element x y z (fractional)
Pr 0.5766 0.5000 0.8468  1 Sc 3.29, 3 Pr 3.49-3.60, 8 Er 3.61-3.67
Pr 0.4234 0.5000 0.1532  1 Sc 3.29, 3 Pr 3.49-3.60, 8 Er 3.61-3.67
Er 0.8416 0.0000 0.3167  6 Sc 3.41-3.42, 3 Er 3.49-3.72, 4 Pr 3.67
Er 0.0000 0.0000 0.0000  4 Er 3.49-3.72, 8 Pr 3.61
Er 0.1584 0.0000 0.6833  6 Sc 3.41-3.42, 3 Er 3.49-3.72, 4 Pr 3.67
Sc 0.7170 0.5000 0.5660  2 Sc 3.03, 1 Pr 3.29
Sc 0.2830 0.5000 0.4340  2 Sc 3.03, 1 Pr 3.29